A plane-wave DFT calculation with PBE-GGA was carried out for a relaxed AcCoB crystal.

## Properties
distance to the lowest polymorph of the same formula	771	meV per atom
M_tot	0.1	μB per cell

Lattice parameters (Å, degrees): 6.497 6.497 6.497 90.00 90.00 90.00
Space group F-43m (No. 216)
Symmetry-distinct sites (fractional):
Ac1 0.000 0.000 0.000 (multiplicity 4)
Co1 0.250 0.250 0.250 (multiplicity 4)
B1 0.250 0.250 0.750 (multiplicity 4)